The following is a DFT calculation (PBE-GGA) of a relaxed Pm5Rh4Pb crystal.

Calculated values
- Calculated density: 9.51 g/cm3
- Calculated volume: 23.5 A^3/atom
- Spin magnetization: 0.000 μB/cell
- Energy of formation from the pure elements: -0.650 eV per atom

a = 3.510 Å, b = 3.510 Å, c = 19.039 Å
α = 90.00°, β = 90.00°, γ = 90.00°
Space group P4/mmm (No. 123)
One atom of each set of equivalent atoms:
Pm  0.000  0.000  0.000 x1
Pm  0.000  0.000  0.187 x2
Pm  0.000  0.000  0.371 x2
Rh  0.500  0.500  0.093 x2
Rh  0.500  0.500  0.280 x2
Pb  0.500  0.500  0.500 x1

The following is a DFT calculation (PBE-GGA) of a relaxed Pm6RhPb2 crystal.

Calculated values
- Calculated density: 8.54 g/cm3
- Calculated volume: 30.0 A^3/atom
- Spin magnetization: 0.001 μB/cell
- Energy of formation from the pure elements: -0.472 eV per atom

a = 8.7578 Å, b = 8.7578 Å, c = 4.0604 Å
α = 90.00°, β = 90.00°, γ = 120.00°
Space group P-62m (No. 189)
One atom of each set of equivalent atoms:
Pm  0.0000  0.2397  0.0000 x3
Pm  0.0000  0.5964  0.5000 x3
Rh  0.0000  0.0000  0.5000 x1
Pb  0.3333  0.6667  0.0000 x2

The following is a DFT calculation (PBE-GGA) of a relaxed Pm5RhPb2 crystal.

Calculated values
- Calculated density: 8.77 g/cm3
- Calculated volume: 29.4 A^3/atom
- Spin magnetization: 0.000 μB/cell
- Energy of formation from the pure elements: -0.345 eV per atom

a = 7.177 Å, b = 7.177 Å, c = 9.133 Å
α = 90.00°, β = 90.00°, γ = 90.00°
Space group I4mm (No. 107)
One atom of each set of equivalent atoms:
Pm  0.000  0.000  0.000 x2
Pm  0.250  0.250  0.239 x8
Rh  0.000  0.000  0.380 x2
Pb  0.000  0.500  0.488 x4

The following is a DFT calculation (PBE-GGA) of a relaxed Pm2Rh3Pb5 crystal.

Calculated values
- Calculated density: 11.45 g/cm3
- Calculated volume: 23.7 A^3/atom
- Spin magnetization: 0.000 μB/cell
- Energy of formation from the pure elements: -0.408 eV per atom

a = 4.588 Å, b = 27.595 Å, c = 7.488 Å
α = 90.00°, β = 90.00°, γ = 90.00°
Space group Cmc2_1 (No. 36)
One atom of each set of equivalent atoms:
Pm  0.000  0.026  0.000 x4
Pm  0.000  0.330  0.959 x4
Rh  0.000  0.105  0.247 x4
Rh  0.000  0.277  0.459 x4
Rh  0.000  0.452  0.220 x4
Pb  0.000  0.095  0.622 x4
Pb  0.000  0.205  0.176 x4
Pb  0.000  0.209  0.744 x4
Pb  0.000  0.379  0.492 x4
Pb  0.000  0.452  0.835 x4

The following is a DFT calculation (PBE-GGA) of a relaxed Pm3Rh3Pb crystal.

Calculated values
- Calculated density: 8.35 g/cm3
- Calculated volume: 27.0 A^3/atom
- Spin magnetization: 0.000 μB/cell
- Energy of formation from the pure elements: -0.371 eV per atom

a = 8.8234 Å, b = 8.8234 Å, c = 5.6126 Å
α = 90.00°, β = 90.00°, γ = 120.00°
Space group P6_3/m (No. 176)
One atom of each set of equivalent atoms:
Pm  0.0347  0.7085  0.2500 x6
Rh  0.0280  0.6640  0.7500 x6
Pb  0.3333  0.6667  0.7500 x2

The following is a DFT calculation (PBE-GGA) of a relaxed Pm8RhPb2 crystal.

Calculated values
- Calculated density: 8.19 g/cm3
- Calculated volume: 30.9 A^3/atom
- Spin magnetization: 0.000 μB/cell
- Energy of formation from the pure elements: -0.345 eV per atom

a = 19.659 Å, b = 5.017 Å, c = 7.064 Å
α = 90.00°, β = 102.61°, γ = 90.00°
Space group C2/m (No. 12)
One atom of each set of equivalent atoms:
Pm  0.013  0.000  0.279 x4
Pm  0.091  0.500  0.981 x4
Pm  0.143  0.500  0.513 x4
Pm  0.215  0.000  0.831 x4
Rh  0.000  0.500  0.500 x2
Pb  0.182  0.000  0.269 x4

The following is a DFT calculation (PBE-GGA) of a relaxed Pm6Rh3Pb crystal.

Calculated values
- Calculated density: 7.94 g/cm3
- Calculated volume: 29.0 A^3/atom
- Spin magnetization: 0.000 μB/cell
- Energy of formation from the pure elements: -0.555 eV per atom

a = 11.891 Å, b = 4.154 Å, c = 12.311 Å
α = 90.00°, β = 107.68°, γ = 90.00°
Space group P2_1/m (No. 11)
One atom of each set of equivalent atoms:
Pm  0.024  0.250  0.388 x2
Pm  0.112  0.250  0.952 x2
Pm  0.207  0.750  0.263 x2
Pm  0.293  0.750  0.764 x2
Pm  0.353  0.250  0.531 x2
Pm  0.425  0.750  0.089 x2
Rh  0.043  0.250  0.163 x2
Rh  0.177  0.750  0.501 x2
Rh  0.342  0.250  0.921 x2
Pb  0.448  0.250  0.308 x2

The following is a DFT calculation (PBE-GGA) of a relaxed Pm7Rh2Pb2 crystal.

Calculated values
- Calculated density: 7.84 g/cm3
- Calculated volume: 31.5 A^3/atom
- Spin magnetization: 0.000 μB/cell
- Energy of formation from the pure elements: -0.397 eV per atom

a = 8.375 Å, b = 11.274 Å, c = 7.341 Å
α = 90.00°, β = 90.00°, γ = 90.00°
Space group Cmmm (No. 65)
One atom of each set of equivalent atoms:
Pm  0.000  0.000  0.000 x2
Pm  0.000  0.500  0.231 x4
Pm  0.250  0.250  0.247 x8
Rh  0.000  0.283  0.000 x4
Pb  0.186  0.000  0.500 x4

The following is a DFT calculation (PBE-GGA) of a relaxed Pm3Rh3Pb2 crystal.

Calculated values
- Calculated density: 10.03 g/cm3
- Calculated volume: 24.0 A^3/atom
- Spin magnetization: 0.000 μB/cell
- Energy of formation from the pure elements: -0.485 eV per atom

a = 3.527 Å, b = 4.948 Å, c = 21.979 Å
α = 90.00°, β = 90.00°, γ = 90.00°
Space group Immm (No. 71)
One atom of each set of equivalent atoms:
Pm  0.000  0.000  0.000 x2
Pm  0.000  0.500  0.115 x4
Rh  0.000  0.000  0.500 x2
Rh  0.000  0.500  0.393 x4
Pb  0.000  0.000  0.218 x4

The following is a DFT calculation (PBE-GGA) of a relaxed Pm2Rh2Pb crystal.

Calculated values
- Calculated density: 10.17 g/cm3
- Calculated volume: 23.0 A^3/atom
- Spin magnetization: 0.000 μB/cell
- Energy of formation from the pure elements: -0.660 eV per atom

a = 7.752 Å, b = 7.752 Å, c = 3.822 Å
α = 90.00°, β = 90.00°, γ = 90.00°
Space group P4/mbm (No. 127)
One atom of each set of equivalent atoms:
Pm  0.171  0.329  0.000 x4
Rh  0.129  0.629  0.500 x4
Pb  0.000  0.000  0.500 x2

The following is a DFT calculation (PBE-GGA) of a relaxed Pm2Rh3Pb crystal.

Calculated values
- Calculated density: 10.02 g/cm3
- Calculated volume: 22.3 A^3/atom
- Spin magnetization: 0.000 μB/cell
- Energy of formation from the pure elements: -0.451 eV per atom

a = 4.5643 Å, b = 4.5643 Å, c = 14.8036 Å
α = 90.00°, β = 90.00°, γ = 120.00°
Space group P6_3/mmc (No. 194)
One atom of each set of equivalent atoms:
Pm  0.0000  0.0000  0.1170 x4
Rh  0.3333  0.6667  0.0022 x4
Rh  0.3333  0.6667  0.7500 x2
Pb  0.3333  0.6667  0.2500 x2

The following is a DFT calculation (PBE-GGA) of a relaxed Pm7Rh4Pb crystal.

Calculated values
- Calculated density: 8.55 g/cm3
- Calculated volume: 26.4 A^3/atom
- Spin magnetization: 0.000 μB/cell
- Energy of formation from the pure elements: -0.382 eV per atom

a = 13.597 Å, b = 5.854 Å, c = 9.754 Å
α = 90.00°, β = 125.19°, γ = 90.00°
Space group C2/m (No. 12)
One atom of each set of equivalent atoms:
Pm  0.000  0.000  0.000 x2
Pm  0.077  0.500  0.382 x4
Pm  0.180  0.000  0.629 x4
Pm  0.205  0.500  0.886 x4
Rh  0.064  0.000  0.773 x4
Rh  0.203  0.000  0.340 x4
Pb  0.000  0.500  0.000 x2

The following is a DFT calculation (PBE-GGA) of a relaxed PmRhPb2 crystal.

Calculated values
- Calculated density: 11.08 g/cm3
- Calculated volume: 24.8 A^3/atom
- Spin magnetization: 0.000 μB/cell
- Energy of formation from the pure elements: -0.423 eV per atom

a = 17.371 Å, b = 7.481 Å, c = 6.109 Å
α = 90.00°, β = 90.00°, γ = 90.00°
Space group Pnma (No. 62)
One atom of each set of equivalent atoms:
Pm  0.108  0.250  0.243 x4
Pm  0.144  0.750  0.475 x4
Rh  0.081  0.750  0.039 x4
Rh  0.164  0.250  0.695 x4
Pb  0.034  0.035  0.747 x8
Pb  0.215  0.539  0.978 x8

The following is a DFT calculation (PBE-GGA) of a relaxed Pm3RhPb3 crystal.

Calculated values
- Calculated density: 9.81 g/cm3
- Calculated volume: 28.0 A^3/atom
- Spin magnetization: 0.000 μB/cell
- Energy of formation from the pure elements: -0.564 eV per atom

a = 11.561 Å, b = 4.602 Å, c = 15.639 Å
α = 90.00°, β = 109.29°, γ = 90.00°
Space group C2/m (No. 12)
One atom of each set of equivalent atoms:
Pm  0.019  0.000  0.381 x4
Pm  0.097  0.000  0.923 x4
Pm  0.235  0.000  0.245 x4
Rh  0.244  0.500  0.379 x4
Pb  0.016  0.500  0.234 x4
Pb  0.131  0.500  0.078 x4
Pb  0.149  0.500  0.533 x4

The following is a DFT calculation (PBE-GGA) of a relaxed PmRh3Pb3 crystal.

Calculated values
- Calculated density: 9.01 g/cm3
- Calculated volume: 28.3 A^3/atom
- Spin magnetization: 0.000 μB/cell
- Energy of formation from the pure elements: 0.322 eV per atom

a = 7.346 Å, b = 7.346 Å, c = 7.346 Å
α = 90.00°, β = 90.00°, γ = 90.00°
Space group Pm-3n (No. 223)
One atom of each set of equivalent atoms:
Pm  0.000  0.000  0.000 x2
Rh  0.000  0.250  0.500 x6
Pb  0.000  0.500  0.250 x6

The following is a DFT calculation (PBE-GGA) of a relaxed Pm12Rh2Pb5 crystal.

Calculated values
- Calculated density: 7.46 g/cm3
- Calculated volume: 34.9 A^3/atom
- Spin magnetization: 0.002 μB/cell
- Energy of formation from the pure elements: -0.349 eV per atom

a = 17.861 Å, b = 7.732 Å, c = 9.993 Å
α = 90.00°, β = 105.85°, γ = 90.00°
Space group C2/m (No. 12)
One atom of each set of equivalent atoms:
Pm  0.003  0.000  0.242 x4
Pm  0.004  0.500  0.826 x4
Pm  0.149  0.252  0.574 x8
Pm  0.158  0.241  0.081 x8
Rh  0.000  0.204  0.000 x4
Pb  0.000  0.500  0.500 x2
Pb  0.190  0.000  0.834 x4
Pb  0.198  0.000  0.360 x4

The following is a DFT calculation (PBE-GGA) of a relaxed Pm12RhPb6 crystal.

Calculated values
- Calculated density: 7.76 g/cm3
- Calculated volume: 34.8 A^3/atom
- Spin magnetization: 0.002 μB/cell
- Energy of formation from the pure elements: -0.312 eV per atom

a = 13.4440 Å, b = 13.4440 Å, c = 12.6620 Å
α = 90.00°, β = 90.00°, γ = 120.00°
Space group R-3 (No. 148, hexagonal axes)
One atom of each set of equivalent atoms:
Pm  0.0307  0.1936  0.3920 x18
Pm  0.0725  0.1940  0.8759 x18
Rh  0.0000  0.0000  0.0000 x3
Pb  0.0422  0.4225  0.3018 x18

The following is a DFT calculation (PBE-GGA) of a relaxed PmRh2Pb3 crystal.

Calculated values
- Calculated density: 11.52 g/cm3
- Calculated volume: 23.4 A^3/atom
- Spin magnetization: 0.000 μB/cell
- Energy of formation from the pure elements: -0.308 eV per atom

a = 4.286 Å, b = 8.688 Å, c = 7.528 Å
α = 90.00°, β = 90.00°, γ = 90.00°
Space group Pmc2_1 (No. 26)
One atom of each set of equivalent atoms:
Pm  0.000  0.074  0.000 x2
Rh  0.000  0.371  0.229 x2
Rh  0.500  0.118  0.711 x2
Pb  0.000  0.321  0.616 x2
Pb  0.500  0.185  0.325 x2
Pb  0.500  0.405  0.949 x2

The following is a DFT calculation (PBE-GGA) of a relaxed Pm3Rh4Pb4 crystal.

Calculated values
- Calculated density: 10.85 g/cm3
- Calculated volume: 23.3 A^3/atom
- Spin magnetization: 0.000 μB/cell
- Energy of formation from the pure elements: -0.453 eV per atom

a = 4.258 Å, b = 7.836 Å, c = 15.369 Å
α = 90.00°, β = 90.00°, γ = 90.00°
Space group Immm (No. 71)
One atom of each set of equivalent atoms:
Pm  0.000  0.000  0.000 x2
Pm  0.000  0.500  0.116 x4
Rh  0.000  0.000  0.219 x4
Rh  0.000  0.187  0.500 x4
Pb  0.000  0.296  0.332 x8

| no. | electronic total energy (Ry per atom) |
| --- | --- |
| 1 | -0.466 |
| 2 | -0.388 |
| 3 | -0.379 |
| 4 | -0.398 |
| 5 | -0.447 |
| 6 | -0.378 |
| 7 | -0.440 |
| 8 | -0.399 |
| 9 | -0.437 |
| 10 | -0.459 |
| 11 | -0.465 |
| 12 | -0.435 |
| 13 | -0.390 |
| 14 | -0.385 |
| 15 | -0.375 |
| 16 | -0.375 |
| 17 | -0.358 |
| 18 | -0.397 |
| 19 | -0.424 |